# ReSbTe2 PBE optimized geometry
data_ReSbTe2
_chemical_formula_sum 'Re4 Sb4 Te8'
_space_group_name_H-M_alt 'I -4 2 d'
_space_group_IT_number 122
_space_group_name_Hall 'I -4 2bw'
_cell_length_a 7.035
_cell_length_b 7.035
_cell_length_c 10.429
_cell_angle_alpha 90.00
_cell_angle_beta 90.00
_cell_angle_gamma 90.00
loop_
_atom_site_label
_atom_site_fract_x
_atom_site_fract_y
_atom_site_fract_z
Re1 0.000 0.000 0.000
Sb1 0.000 0.000 0.500
Te1 0.190 0.250 0.125
# Energy relative to the elements, uncorrected = 16.38 kcal/mol of atoms
# Calculated total energy = -80.053 eV for the cell shown
# Volume = 32.26 Å³/atom